Record 1
A geometry-optimized CeTmPa structure. Source: Alexandria via LeMat-Bulk, functional PBE.

Calculated values
The total energy is -6.571 eV/atom. The calculation puts the formation energy at 0.0624 eV per atom. Its energy above the lowest structure with this stoichiometry is 0.000 eV per atom.

Structure (POSCAR):
```
CeTmPa
1.0
-1.299 1.320 -2.815
-0.567 -3.100 -1.192
-13.147 0.060 6.093
Pa Tm Ce
2 2 2
direct
0.318 0.318 0.173
0.818 0.818 0.329
0.318 0.318 0.840
0.818 0.818 0.663
0.318 0.318 0.488
0.818 0.818 0.015
```

***

Record 2
A geometry-optimized Nd3CdF structure. Source: Alexandria via LeMat-Bulk, functional PBE.

Calculated values
The total energy is -4.452 eV/atom. The raw formation energy comes out at -1.034 eV/atom.

Structure (POSCAR):
```
Nd3CdF
1.0
5.051 0.000 0.000
0.000 5.051 0.000
0.000 0.000 5.051
F Nd Cd
1 3 1
direct
0.000 0.000 0.000
0.000 0.000 0.500
0.500 0.000 0.000
0.000 0.500 0.000
0.500 0.500 0.500
```

***

Record 3
A geometry-optimized GaMoPt structure. Source: Alexandria via LeMat-Bulk, functional PBE.

Calculated values
The total energy is -6.911 eV/atom. The calculation puts the formation energy at -0.2782 eV per atom.

Structure (POSCAR):
```
GaMoPt
1.0
-3.926 2.061 -1.054
-1.409 -2.579 0.203
0.121 1.039 14.012
Ga Mo Pt
4 4 4
direct
0.203 0.000 0.413
0.203 0.500 0.913
0.797 0.000 0.587
0.797 0.500 0.087
0.251 0.000 0.746
0.749 0.000 0.254
0.749 0.500 0.754
0.251 0.500 0.246
0.303 0.500 0.577
0.303 0.000 0.077
0.697 0.000 0.923
0.697 0.500 0.423
```

***

Record 4
A geometry-optimized Tm6CdSe5 structure. Source: Alexandria via LeMat-Bulk, functional PBE.

Calculated values
The total energy is -5.175 eV/atom. The raw formation energy comes out at -1.411 eV/atom.

Structure (POSCAR):
```
Tm6CdSe5
1.0
6.942 0.173 1.057
1.704 5.932 3.456
0.114 0.078 7.048
Se Tm Cd
5 6 1
direct
0.500 0.168 0.663
0.500 0.832 0.337
0.000 0.666 0.668
0.000 0.334 0.332
0.500 0.500 0.000
0.249 0.581 0.336
0.751 0.083 0.336
0.750 0.748 0.000
0.751 0.419 0.664
0.249 0.917 0.664
0.250 0.252 0.000
0.000 0.000 0.000
```

***

Record 5
A geometry-optimized LiPu2Pt3 structure. Source: Alexandria via LeMat-Bulk, functional PBE.

Calculated values
The total energy is -8.912 eV/atom. The calculation puts the formation energy at -0.7951 eV per atom.

Structure (POSCAR):
```
LiPu2Pt3
1.0
-4.100 1.348 -3.510
-1.199 -2.242 4.948
2.948 3.613 2.351
Pu Pt Li
2 3 1
direct
0.757 0.378 0.135
0.243 0.622 0.865
0.500 0.500 0.500
0.000 0.000 0.500
0.500 0.000 0.500
0.000 0.000 0.000
```

***

Record 6
A geometry-optimized LiSm2Mg2In5 structure. Source: Alexandria via LeMat-Bulk, functional PBE.

Calculated values
The total energy is -3.087 eV/atom. The calculation puts the formation energy at -0.2638 eV per atom.

Structure (POSCAR):
```
LiSm2Mg2In5
1.0
4.404 0.000 0.000
0.000 10.597 0.000
0.000 0.000 10.597
Mg In Li Sm
4 10 2 4
direct
0.000 0.378 0.122
0.000 0.622 0.878
0.000 0.878 0.378
0.000 0.122 0.622
0.500 0.695 0.436
0.500 0.000 0.500
0.500 0.936 0.195
0.500 0.564 0.695
0.500 0.500 0.000
0.500 0.064 0.805
0.500 0.305 0.564
0.500 0.805 0.936
0.500 0.436 0.305
0.500 0.195 0.064
0.000 0.000 0.000
0.000 0.500 0.500
0.000 0.825 0.675
0.000 0.325 0.825
0.000 0.175 0.325
0.000 0.675 0.175
```

***

Record 7
A geometry-optimized AcMg2Zn4In structure. Source: Alexandria via LeMat-Bulk, functional PBE.

Calculated values
The total energy is -2.033 eV/atom. The calculation puts the formation energy at -0.1413 eV per atom.

Structure (POSCAR):
```
AcMg2Zn4In
1.0
4.637 0.000 0.000
2.318 4.016 0.000
2.318 1.339 9.595
Mg In Zn Ac
2 1 4 1
direct
0.239 0.239 0.284
0.761 0.761 0.716
0.500 0.500 0.500
0.120 0.120 0.639
0.880 0.880 0.361
0.600 0.600 0.201
0.400 0.400 0.799
0.000 0.000 0.000
```

***

Record 8
A geometry-optimized PmAgGe structure. Source: Alexandria via LeMat-Bulk, functional PBE.

Calculated values
The total energy is -4.569 eV/atom. The calculation puts the formation energy at -0.4955 eV per atom. Its energy above the lowest structure with this stoichiometry is 0.139 eV per atom.

Structure (POSCAR):
```
PmAgGe
1.0
4.727 0.000 0.000
2.364 4.094 0.000
2.364 1.365 3.860
Ag Ge Pm
1 1 1
direct
0.500 0.500 0.500
0.250 0.250 0.250
0.000 0.000 0.000
```

***

So what do the calculations give for M_tot? Going down the list: 0.00 0.00 0.00 0.00 1.86 0.00 0.00 0.00 μB per atom.